Compound: NaAc2B2O6
Source: the Alexandria database
Functional: PBE-GGA
Structure: optimized geometry

Unit cell a=9.4794 b=5.2313 c=6.9009 alpha=90.00 beta=121.54 gamma=90.00
Closest atoms and distances in Å follow each position.
Space group C2/m (No. 12)
One atom of each set of equivalent atoms:
1 Na 0.0000 0.0000 0.0000 x2  6 O 2.36-2.48
2 Ac 0.2136 0.0000 0.7127 x4  9 O 2.68-2.79, 1 B 2.98
3 B 0.0393 0.5000 0.7444 x4  3 O 1.41
4 O 0.0481 0.2680 0.3264 x8  1 B 1.41
5 O 0.2129 0.5000 0.8533 x4  1 B 1.41

Calculated values
Formation energy (no corrections) = -29.70 eV/f.u.

Compound: LiPu2UP4
Source: the Alexandria database
Functional: PBE-GGA
Structure: optimized geometry

Unit cell a=5.5402 b=5.5402 c=11.3353 alpha=90.00 beta=90.00 gamma=90.00
Closest atoms and distances in Å follow each position.
Space group I4/mmm (No. 139)
One atom of each set of equivalent atoms:
1 Li 0.0000 0.0000 0.0000 x2  6 P 2.77-3.00
2 Pu 0.0000 0.5000 0.2500 x4  6 P 2.78-2.83
3 U 0.0000 0.0000 0.5000 x2  6 P 2.66-2.77
4 P 0.0000 0.0000 0.2651 x4  1 U 2.66, 4 Pu 2.78
5 P 0.0000 0.5000 0.0000 x4  2 Li 2.77, 2 U 2.77, 2 Pu 2.83

Calculated values
ΔH_f (0 K) = -84.9 kJ per mole of atoms

Compound: TlBSe2
Source: the Alexandria database
Functional: PBE-GGA
Structure: optimized geometry

Unit cell a=6.7348 b=6.7348 c=8.0489 alpha=90.00 beta=90.00 gamma=90.00
Closest atoms and distances in Å follow each position.
Space group I-42d (No. 122)
One atom of each set of equivalent atoms:
1 Tl 0.0000 0.0000 0.0000 x4  8 Se 3.21-3.55
2 B 0.0000 0.0000 0.5000 x4  4 Se 2.13
3 Se 0.1224 0.2500 0.6250 x8  2 B 2.13

Calculated values
Formation energy (no corrections) = -0.48 eV/f.u.

Compound: LaSm2Au2
Source: the Alexandria database
Functional: PBE-GGA
Structure: optimized geometry

Unit cell a=5.3955 b=5.0334 c=11.0676 alpha=90.00 beta=96.44 gamma=90.00
Closest atoms and distances in Å follow each position.
Space group P2_1/m (No. 11)
One atom of each set of equivalent atoms:
1 La 0.2026 0.2500 0.2379 x2  3 Au 3.18-3.55
2 Sm 0.2476 0.7500 0.4908 x2  4 Au 2.92-2.99
3 Sm 0.3253 0.2500 0.8874 x2  5 Au 2.88-3.04
4 Au 0.1582 0.7500 0.0100 x2  4 Sm 2.89-3.04, 2 Au 3.04, 1 La 3.18
5 Au 0.2805 0.2500 0.6260 x2  5 Sm 2.88-2.99

Calculated values
ΔH_f (0 K) = -57.4 kJ per mole of atoms
Excess energy over the best structure of this formula in the dataset = 0.047 eV per atom

Compound: BaCrPd3
Source: the Alexandria database
Functional: PBE-GGA
Structure: optimized geometry

Unit cell a=5.3619 b=5.3619 c=5.3619 alpha=90.00 beta=90.00 gamma=90.00
Closest atoms and distances in Å follow each position.
Space group Pm-3m (No. 221)
One atom of each set of equivalent atoms:
1 Ba 0.0000 0.0000 0.0000 x1  6 Pd 2.68
2 Cr 0.5000 0.5000 0.5000 x1  12 Pd 3.79
3 Pd 0.0000 0.0000 0.5000 x3  2 Ba 2.68

Calculated values
ΔH_f (0 K) = 126.0 kJ per mole of atoms
Excess energy over the best structure of this formula in the dataset = 1.068 eV per atom

Compound: BaLa2Cr
Source: the Alexandria database
Functional: PBE-GGA
Structure: optimized geometry

Unit cell a=7.8042 b=7.8042 c=7.8042 alpha=90.00 beta=90.00 gamma=90.00
Closest atoms and distances in Å follow each position.
Space group Fm-3m (No. 225)
One atom of each set of equivalent atoms:
1 Ba 0.0000 0.0000 0.0000 x4  8 La 3.38
2 La 0.2500 0.2500 0.2500 x8  4 Cr 3.38, 4 Ba 3.38
3 Cr 0.0000 0.0000 0.5000 x4  8 La 3.38

Calculated values
ΔH_f (0 K) = 81.2 kJ per mole of atoms
Excess energy over the best structure of this formula in the dataset = 0.528 eV per atom

Compound: AsPtO2
Source: the Alexandria database
Functional: PBE-GGA
Structure: optimized geometry

Unit cell a=3.2356 b=3.2356 c=18.7887 alpha=90.00 beta=90.00 gamma=120.00
Closest atoms and distances in Å follow each position.
Space group R-3m (No. 166, hexagonal axes)
One atom of each set of equivalent atoms:
1 As 0.0000 0.0000 0.0000 x3  2 O 2.14
2 Pt 0.0000 0.0000 0.5000 x3  6 O 2.11
3 O 0.0000 0.0000 0.1141 x6  3 Pt 2.11, 1 As 2.14

Calculated values
Formation energy (no corrections) = -0.55 eV/f.u.

Compound: LaInNi
Source: the Alexandria database
Functional: PBE-GGA
Structure: optimized geometry

Unit cell a=6.6969 b=6.6969 c=6.6969 alpha=90.00 beta=90.00 gamma=90.00
Closest atoms and distances in Å follow each position.
Space group F-43m (No. 216)
One atom of each set of equivalent atoms:
1 La 0.0000 0.0000 0.0000 x4  4 Ni 2.90
2 In 0.0000 0.0000 0.5000 x4  4 Ni 2.90
3 Ni 0.2500 0.2500 0.7500 x4  4 In 2.90, 4 La 2.90

Calculated values
ΔH_f (0 K) = -32.7 kJ per mole of atoms

Compound: CsMn4Tl3Cl12
Source: the Alexandria database
Functional: PBE-GGA
Structure: optimized geometry

Unit cell a=15.5685 b=15.5685 c=11.5911 alpha=90.00 beta=90.00 gamma=120.00
Closest atoms and distances in Å follow each position.
Space group R32 (No. 155, hexagonal axes)
One atom of each set of equivalent atoms:
1 Cs 0.0000 0.0000 0.0000 x3  6 Cl 3.61
2 Mn 0.0000 0.0000 0.5000 x3  3 Cl 2.27
3 Mn 0.0000 0.4525 0.5000 x9  3 Cl 2.28
4 Tl 0.0000 0.5449 0.0000 x9  6 Cl 3.21-3.23
5 Cl 0.0000 0.5990 0.5000 x9  1 Mn 2.28
6 Cl 0.0000 0.8540 0.5000 x9  1 Mn 2.27
7 Cl 0.0234 0.2066 0.1673 x18  1 Mn 2.28

Calculated values
Formation energy (no corrections) = -21.74 eV/f.u.

Compound: CdIrRh2
Source: the Alexandria database
Functional: PBE-GGA
Structure: optimized geometry

Unit cell a=2.8040 b=2.8040 c=7.9226 alpha=90.00 beta=90.00 gamma=90.00
Closest atoms and distances in Å follow each position.
Space group P4mm (No. 99)
One atom of each set of equivalent atoms:
1 Cd 0.0000 0.0000 0.0000 x1  4 Cd 2.80, 4 Rh 2.90, 4 Ir 2.94
2 Ir 0.5000 0.5000 0.2748 x1  4 Rh 2.67, 4 Ir 2.80, 4 Cd 2.94
3 Rh 0.0000 0.0000 0.5014 x1  4 Ir 2.67, 8 Rh 2.70-2.80
4 Rh 0.5000 0.5000 0.7328 x1  8 Rh 2.70-2.80, 4 Cd 2.90

Calculated values
ΔH_f (0 K) = 6.6 kJ per mole of atoms

Compound: PmDy2Hg5
Source: the Alexandria database
Functional: PBE-GGA
Structure: optimized geometry

Unit cell a=5.2417 b=5.2417 c=14.6998 alpha=90.00 beta=90.00 gamma=90.00
Closest atoms and distances in Å follow each position.
Space group I4/mmm (No. 139)
One atom of each set of equivalent atoms:
1 Pm 0.0000 0.0000 0.0000 x2  8 Hg 3.22
2 Dy 0.0000 0.0000 0.2666 x4  8 Hg 3.05-3.33
3 Hg 0.0000 0.0000 0.5000 x2  8 Hg 3.22, 2 Dy 3.43
4 Hg 0.0000 0.5000 0.1274 x8  4 Dy 3.05-3.33, 2 Hg 3.22, 2 Pm 3.22

Calculated values
ΔH_f (0 K) = -42.5 kJ per mole of atoms

Compound: Rb3Re2PbO9
Source: the Alexandria database
Functional: PBE-GGA
Structure: optimized geometry

Unit cell a=5.9311 b=5.9311 c=7.6140 alpha=90.00 beta=90.00 gamma=120.00
Closest atoms and distances in Å follow each position.
Space group P-3m1 (No. 164)
One atom of each set of equivalent atoms:
1 Rb 0.0000 0.0000 0.0000 x1  12 O 2.89-2.97
2 Rb 0.3333 0.6667 0.6744 x2  12 O 2.99-3.33
3 Re 0.3333 0.6667 0.1518 x2  3 O 1.84
4 Pb 0.0000 0.0000 0.5000 x1  6 O 2.50
5 O 0.0000 0.5000 0.0000 x3  2 Re 2.07
6 O 0.1842 0.3684 0.2861 x6  1 Re 1.84

Calculated values
Formation energy (no corrections) = -23.52 eV/f.u.

What did we get for total energy? Answer: -82.34, -70.55, -16.49, -23.89, -20.59, -18.04, -21.16, -14.46, -88.53, -24.21, -18.99, -99.66 eV per formula unit, in the order shown.
What did we get for V? Answer: 13.258, 21.746, 22.818, 29.868, 30.831, 29.707, 14.196, 25.028, 40.551, 15.573, 25.242, 15.464 Å³/atom, in the order shown.
What did we get for magnetization? Answer: 1.5, 22.0, 0.0, 0.0, 4.9, 0.0, 0.0, 0.0, 60.0, 0.0, 0.0, 0.0 Bohr magnetons per cell, in the order shown.